Density functional theory data (PBE) for LaCr2Ni after structural relaxation.

Cell and atoms, written as POSCAR:
```
LaCr2Ni
1.0
3.8912 0.0000 0.0000
0.0000 4.0225 0.0000
0.0000 0.0000 4.8055
La Cr Ni
1 2 1
Direct
0.0000 0.0000 0.0000 La
0.0000 0.5000 0.5000 Cr
0.5000 0.0000 0.5000 Cr
0.5000 0.5000 0.0000 Ni
```

- VASP energy: -7.05 eV/atom
- Volume: 75 Å³/f.u.
- Crystal system: orthorhombic
- Symmetry: No. 47
- Total magnetization: 0.08 μB/cell

=====

Density functional theory data (PBE) for Sm2B5Os after structural relaxation.

Cell and atoms, written as POSCAR:
```
Sm2B5Os
1.0
-2.5383 2.5383 3.9871
2.5383 -2.5383 3.9871
2.5383 2.5383 -3.9871
Sm B Os
2 5 1
Direct
0.0000 0.5000 0.5000 Sm
0.5000 0.0000 0.5000 Sm
0.0592 0.0592 0.6346 B
0.0592 0.4245 0.0000 B
0.0872 0.0872 0.0000 B
0.4245 0.0592 0.0000 B
0.4245 0.4245 0.3654 B
0.7748 0.7748 0.0000 Os
```

- VASP energy: -7.06 eV/atom
- Volume: 103 Å³/f.u.
- Crystal system: tetragonal
- Symmetry: No. 107
- Total magnetization: 0.00 μB/cell

=====

Density functional theory data (PBE) for TmFeP2Os after structural relaxation.

Cell and atoms, written as POSCAR:
```
TmFeP2Os
1.0
-1.9771 1.9771 4.7132
1.9771 -1.9771 4.7132
1.9771 1.9771 -4.7132
Tm Fe P Os
1 1 2 1
Direct
0.0000 0.0000 0.0000 Tm
0.7500 0.2500 0.5000 Fe
0.3743 0.3743 0.0000 P
0.6257 0.6257 0.0000 P
0.2500 0.7500 0.5000 Os
```

- VASP energy: -7.85 eV/atom
- Volume: 74 Å³/f.u.
- Crystal system: tetragonal
- Symmetry: No. 119
- Total magnetization: 0.00 μB/cell

=====

Density functional theory data (PBE) for AcTb2PrHg4 after structural relaxation.

Cell and atoms, written as POSCAR:
```
AcTb2PrHg4
1.0
2.7173 1.5688 8.9691
-2.7173 1.5688 8.9691
0.0000 -3.1377 8.9691
Ac Tb Pr Hg
1 2 1 4
Direct
0.0000 0.0000 0.0000 Ac
0.2475 0.2475 0.2475 Tb
0.7525 0.7525 0.7525 Tb
0.5000 0.5000 0.5000 Pr
0.1268 0.1268 0.1268 Hg
0.3788 0.3788 0.3788 Hg
0.6212 0.6212 0.6212 Hg
0.8732 0.8732 0.8732 Hg
```

- VASP energy: -2.87 eV/atom
- Volume: 229 Å³/f.u.
- Crystal system: trigonal
- Symmetry: No. 166
- Total magnetization: 1.24 μB/cell

=====

Density functional theory data (PBE) for Y12Tm6Mg after structural relaxation.

Cell and atoms, written as POSCAR:
```
Y12Tm6Mg
1.0
5.9147 3.4148 5.0164
-5.9147 3.4148 5.0164
0.0000 -6.8297 5.0164
Y Tm Mg
12 6 1
Direct
0.0388 0.9346 0.2827 Y
0.0654 0.7173 0.9612 Y
0.1340 0.4862 0.3218 Y
0.2827 0.0388 0.9346 Y
0.3218 0.1340 0.4862 Y
0.4862 0.3218 0.1340 Y
0.5138 0.6783 0.8660 Y
0.6782 0.8660 0.5138 Y
0.7173 0.9612 0.0654 Y
0.8660 0.5138 0.6782 Y
0.9346 0.2827 0.0388 Y
0.9612 0.0654 0.7173 Y
0.2128 0.7615 0.5983 Tm
0.2385 0.4017 0.7872 Tm
0.4017 0.7872 0.2385 Tm
0.5983 0.2128 0.7615 Tm
0.7615 0.5983 0.2128 Tm
0.7872 0.2385 0.4017 Tm
0.5000 0.5000 0.5000 Mg
```

- VASP energy: -5.45 eV/atom
- Volume: 608 Å³/f.u.
- Crystal system: trigonal
- Symmetry: No. 148
- Total magnetization: 0.00 μB/cell

=====

Density functional theory data (PBE) for Tc3SbC after structural relaxation.

Cell and atoms, written as POSCAR:
```
Tc3SbC
1.0
4.1440 0.0000 0.0000
0.0000 4.1440 0.0000
0.0000 0.0000 4.1440
Tc Sb C
3 1 1
Direct
0.0000 0.0000 0.5000 Tc
0.0000 0.5000 0.0000 Tc
0.5000 0.0000 0.0000 Tc
0.5000 0.5000 0.5000 Sb
0.0000 0.0000 0.0000 C
```

- VASP energy: -8.69 eV/atom
- Volume: 71 Å³/f.u.
- Crystal system: cubic
- Symmetry: No. 221
- Total magnetization: 1.26 μB/cell

=====

Density functional theory data (PBE) for TbPd3Pb after structural relaxation.

Cell and atoms, written as POSCAR:
```
TbPd3Pb
1.0
5.4267 0.0000 0.0000
0.0000 7.0686 0.0000
-1.2744 0.0000 5.4060
Tb Pd Pb
2 6 2
Direct
0.1698 0.2500 0.2647 Tb
0.8302 0.7500 0.7353 Tb
0.0404 0.2500 0.7506 Pd
0.3015 0.5586 0.6223 Pd
0.3015 0.9414 0.6223 Pd
0.6985 0.0586 0.3777 Pd
0.6985 0.4414 0.3777 Pd
0.9596 0.7500 0.2494 Pd
0.4197 0.7500 0.1226 Pb
0.5803 0.2500 0.8774 Pb
```

- VASP energy: -5.35 eV/atom
- Volume: 104 Å³/f.u.
- Crystal system: monoclinic
- Symmetry: No. 11
- Total magnetization: 0.00 μB/cell

=====

Density functional theory data (PBE) for KZrTl2 after structural relaxation.

Cell and atoms, written as POSCAR:
```
KZrTl2
1.0
1.7219 0.9941 11.0455
-1.7219 0.9941 11.0455
0.0000 -1.9883 11.0455
K Zr Tl
1 1 2
Direct
0.0000 0.0000 0.0000 K
0.5000 0.5000 0.5000 Zr
0.2427 0.2427 0.2427 Tl
0.7573 0.7573 0.7573 Tl
```

- VASP energy: -3.46 eV/atom
- Volume: 113 Å³/f.u.
- Crystal system: trigonal
- Symmetry: No. 166
- Total magnetization: 0.00 μB/cell

=====

Density functional theory data (PBE) for TmPuSe after structural relaxation.

Cell and atoms, written as POSCAR:
```
TmPuSe
1.0
3.7699 0.0000 0.0000
-1.8850 3.2648 0.0000
0.0000 0.0000 6.6900
Tm Pu Se
1 1 1
Direct
0.0000 0.0000 0.0000 Tm
0.6667 0.3333 0.4309 Pu
0.3333 0.6667 0.7279 Se
```

- VASP energy: -8.26 eV/atom
- Volume: 82 Å³/f.u.
- Crystal system: trigonal
- Symmetry: No. 156
- Total magnetization: 6.57 μB/cell

=====

Density functional theory data (PBE) for UHgBO6 after structural relaxation.

Cell and atoms, written as POSCAR:
```
UHgBO6
1.0
5.7161 0.0000 0.0000
0.7594 5.8789 0.0000
2.7034 1.8134 4.9649
U Hg B O
1 1 1 6
Direct
0.0000 0.0000 0.0000 U
0.3008 0.5707 0.4428 Hg
0.9207 0.0609 0.5698 B
0.0923 0.8926 0.6372 O
0.2543 0.2809 0.7881 O
0.2636 0.7798 0.0966 O
0.7355 0.7503 0.2263 O
0.8050 0.1922 0.7473 O
0.8720 0.1049 0.3542 O
```

- VASP energy: -7.21 eV/atom
- Volume: 167 Å³/f.u.
- Crystal system: triclinic
- Symmetry: No. 1
- Total magnetization: 0.00 μB/cell

=====

Density functional theory data (PBE) for Rb3RhC after structural relaxation.

Cell and atoms, written as POSCAR:
```
Rb3RhC
1.0
5.9649 0.0000 0.0000
0.0000 5.9649 0.0000
0.0000 0.0000 5.9649
Rb Rh C
3 1 1
Direct
0.0000 0.0000 0.5000 Rb
0.0000 0.5000 0.0000 Rb
0.5000 0.0000 0.0000 Rb
0.5000 0.5000 0.5000 Rh
0.0000 0.0000 0.0000 C
```

- VASP energy: -2.43 eV/atom
- Volume: 212 Å³/f.u.
- Crystal system: cubic
- Symmetry: No. 221
- Total magnetization: 4.00 μB/cell

=====

Density functional theory data (PBE) for Sm8Co2Pt after structural relaxation.

Cell and atoms, written as POSCAR:
```
Sm8Co2Pt
1.0
4.1173 -6.2199 0.0000
4.1173 6.2199 0.0000
-1.9730 0.0000 5.9914
Sm Co Pt
8 2 1
Direct
0.0000 0.0000 0.0000 Sm
0.0096 0.2824 0.5801 Sm
0.1439 0.5671 0.1894 Sm
0.2824 0.0096 0.5801 Sm
0.4374 0.7062 0.7991 Sm
0.5671 0.1439 0.1894 Sm
0.7062 0.4374 0.7991 Sm
0.7237 0.7237 0.3896 Sm
0.0506 0.6745 0.6991 Co
0.6745 0.0506 0.6991 Co
0.3629 0.3629 0.3835 Pt
```

- VASP energy: -5.45 eV/atom
- Volume: 307 Å³/f.u.
- Crystal system: monoclinic
- Symmetry: No. 8
- Total magnetization: 0.00 μB/cell